TaRh2Cl | PBE | optimized geometry

a b c (Å): 2.918 2.918 8.862
angles (deg): 90.00 90.00 120.03
Last column: magnetic moment on the atom in μB.
Fractional positions:
1 Rh 0.500 0.500 0.255  0.09
2 Rh 0.000 0.000 0.001  0.12
3 Cl 0.500 0.500 0.741  0.00
4 Ta 0.000 0.000 0.503  0.00

Values from the calculation:
Polymorph energy (0 for the lowest one) (meV/atom): 557.3
Space-group type: No. 35
Size of the total moment (μB/cell): 0.21
Crystal system: orthorhombic
Energy relative to the elements, uncorrected (eV per atom): 0.21